Entry 1:
## SmVSe2 (PBE)

Data for a relaxed SmVSe2 crystal.

Values from the calculation:
As for the uncorrected formation energy: -2.52 eV per formula unit. As for the crystal system: trigonal.

Unit cell a=3.7724 b=3.7724 c=25.5647 alpha=90.00 beta=90.00 gamma=120.00
Space group R-3m (No. 166, hexagonal axes)
Symmetry-distinct sites (fractional):
Sm: 0.0000 0.0000 0.0000 (multiplicity 3)
V: 0.0000 0.0000 0.5000 (multiplicity 3)
Se: 0.0000 0.0000 0.1117 (multiplicity 6)


Entry 2:
## SmW4Se8 (PBE)

Data for a relaxed SmW4Se8 crystal.

Values from the calculation:
As for the uncorrected formation energy: -4.05 eV per formula unit. As for the crystal system: trigonal.

Unit cell a=6.7707 b=6.7707 c=22.7170 alpha=90.00 beta=90.00 gamma=120.00
Space group R-3m (No. 166, hexagonal axes)
Symmetry-distinct sites (fractional):
Sm: 0.0000 0.0000 0.0000 (multiplicity 3)
W: 0.0000 0.0000 0.5000 (multiplicity 3)
W: 0.0000 0.5000 0.5000 (multiplicity 9)
Se: 0.0000 0.0000 0.2412 (multiplicity 6)
Se: 0.0063 0.5032 0.2416 (multiplicity 18)